#one
Compound: SrBe2V
Source: the Alexandria database
Functional: GGA-PBE
Structure: optimized geometry

Lattice parameters (Å, degrees): 6.614 6.614 6.614 90.00 90.00 90.00
Space group Fm-3m (No. 225)
Symmetry-distinct sites (fractional):
1 Sr 0.000 0.000 0.000
2 Be 0.250 0.250 0.250
3 V 0.000 0.000 0.500

Computed properties:
Fermi-level density of states (states/eV/atom): 1.271
Total moment (Bohr magnetons per cell): 10.5

=====

#two
Compound: SrBe2V
Source: the Alexandria database
Functional: GGA-PBE
Structure: optimized geometry

Lattice parameters (Å, degrees): 4.510 4.510 17.084 90.00 90.00 90.00
Space group I4_1/amd (No. 141, origin choice 2)
Symmetry-distinct sites (fractional):
1 Sr 0.000 0.250 0.375
2 Be 0.000 0.000 0.000
3 V 0.000 0.250 0.875

Computed properties:
Fermi-level density of states (states/eV/atom): 0.734
Total moment (Bohr magnetons per cell): 14.2

=====

The structure with the least stability is #one.

=====

#one
Compound: SrBe2W
Source: the Alexandria database
Functional: GGA-PBE
Structure: optimized geometry

Lattice parameters (Å, degrees): 3.662 3.385 6.153 90.00 107.25 90.00
Space group Pm (No. 6)
Symmetry-distinct sites (fractional):
1 Sr 0.000 0.000 0.000
2 Be 0.651 0.500 0.305
3 Be 0.753 0.000 0.510
4 W 0.270 0.500 0.542

Computed properties:
Fermi-level density of states (states/eV/atom): 0.676
Total moment (Bohr magnetons per cell): 0.0

=====

#two
Compound: SrBe2W
Source: the Alexandria database
Functional: GGA-PBE
Structure: optimized geometry

Lattice parameters (Å, degrees): 2.905 3.490 6.639 90.00 90.08 90.00
Space group P2/m (No. 10)
Symmetry-distinct sites (fractional):
1 Sr 0.000 0.000 0.000
2 Be 0.500 0.500 0.339
3 W 0.000 0.000 0.500

Computed properties:
Fermi-level density of states (states/eV/atom): 0.630
Total moment (Bohr magnetons per cell): 0.0

=====

The structure with the least stability is #one.

=====

#one
Compound: Sr3BeW
Source: the Alexandria database
Functional: GGA-PBE
Structure: optimized geometry

Lattice parameters (Å, degrees): 5.803 5.803 5.803 90.00 90.00 90.00
Space group Pm-3m (No. 221)
Symmetry-distinct sites (fractional):
1 Sr 0.000 0.000 0.500
2 Be 0.500 0.500 0.500
3 W 0.000 0.000 0.000

Computed properties:
Fermi-level density of states (states/eV/atom): 0.670
Total moment (Bohr magnetons per cell): 0.0

=====

#two
Compound: Sr3BeW
Source: the Alexandria database
Functional: GGA-PBE
Structure: optimized geometry

Lattice parameters (Å, degrees): 5.785 5.785 5.785 90.00 90.00 90.00
Space group Pm-3m (No. 221)
Symmetry-distinct sites (fractional):
1 Sr 0.000 0.000 0.500
2 Be 0.000 0.000 0.000
3 W 0.500 0.500 0.500

Computed properties:
Fermi-level density of states (states/eV/atom): 0.820
Total moment (Bohr magnetons per cell): 4.3

=====

The structure with the least stability is #one.

=====

#one
Compound: Sr2BeW2
Source: the Alexandria database
Functional: GGA-PBE
Structure: optimized geometry

Lattice parameters (Å, degrees): 3.640 3.640 20.065 90.00 90.00 90.00
Space group I4/mmm (No. 139)
Symmetry-distinct sites (fractional):
1 Sr 0.000 0.000 0.101
2 Be 0.000 0.000 0.500
3 W 0.000 0.500 0.250

Computed properties:
Fermi-level density of states (states/eV/atom): 1.287
Total moment (Bohr magnetons per cell): 1.6

=====

#two
Compound: Sr2BeW2
Source: the Alexandria database
Functional: GGA-PBE
Structure: optimized geometry

Lattice parameters (Å, degrees): 9.413 9.413 3.078 90.00 90.00 90.00
Space group P4/mbm (No. 127)
Symmetry-distinct sites (fractional):
1 Sr 0.204 0.296 0.000
2 Be 0.000 0.000 0.000
3 W 0.085 0.585 0.500

Computed properties:
Fermi-level density of states (states/eV/atom): 0.740
Total moment (Bohr magnetons per cell): 0.0

=====

The structure with the least stability is #two.

=====

#one
Compound: SrYBe
Source: the Alexandria database
Functional: GGA-PBE
Structure: optimized geometry

Lattice parameters (Å, degrees): 7.173 7.173 7.173 90.00 90.00 90.00
Space group F-43m (No. 216)
Symmetry-distinct sites (fractional):
1 Sr 0.000 0.000 0.000
2 Y 0.000 0.000 0.500
3 Be 0.250 0.250 0.250

Computed properties:
Fermi-level density of states (states/eV/atom): 1.374
Total moment (Bohr magnetons per cell): 0.0

=====

#two
Compound: SrYBe
Source: the Alexandria database
Functional: GGA-PBE
Structure: optimized geometry

Lattice parameters (Å, degrees): 4.6389 4.6389 4.9870 90.00 90.00 120.00
Space group P3m1 (No. 156)
Symmetry-distinct sites (fractional):
1 Sr 0.0000 0.0000 0.0000
2 Y 0.3333 0.6667 0.5001
3 Be 0.6667 0.3333 0.4990

Computed properties:
Fermi-level density of states (states/eV/atom): 0.641
Total moment (Bohr magnetons per cell): 0.0

=====

#three
Compound: SrYBe
Source: the Alexandria database
Functional: GGA-PBE
Structure: optimized geometry

Lattice parameters (Å, degrees): 3.609 3.609 13.307 90.00 90.00 90.00
Space group I4mm (No. 107)
Symmetry-distinct sites (fractional):
1 Sr 0.000 0.000 0.000
2 Y 0.000 0.000 0.260
3 Be 0.000 0.000 0.657

Computed properties:
Fermi-level density of states (states/eV/atom): 1.003
Total moment (Bohr magnetons per cell): 0.5

=====

#four
Compound: SrYBe
Source: the Alexandria database
Functional: GGA-PBE
Structure: optimized geometry

Lattice parameters (Å, degrees): 3.8527 3.8527 7.3919 90.00 90.00 120.00
Space group P3m1 (No. 156)
Symmetry-distinct sites (fractional):
1 Sr 0.0000 0.0000 0.0000
2 Y 0.6667 0.3333 0.4710
3 Be 0.3333 0.6667 0.7052

Computed properties:
Fermi-level density of states (states/eV/atom): 1.596
Total moment (Bohr magnetons per cell): 0.0

=====

The structure with the least stability is #one.

=====

#one
Compound: SrBeZn
Source: the Alexandria database
Functional: GGA-PBE
Structure: optimized geometry

Lattice parameters (Å, degrees): 7.116 7.116 7.116 90.00 90.00 90.00
Space group F-43m (No. 216)
Symmetry-distinct sites (fractional):
1 Sr 0.000 0.000 0.000
2 Be 0.250 0.250 0.250
3 Zn 0.250 0.250 0.750

Computed properties:
Fermi-level density of states (states/eV/atom): 1.139
Total moment (Bohr magnetons per cell): 0.0

=====

#two
Compound: SrBeZn
Source: the Alexandria database
Functional: GGA-PBE
Structure: optimized geometry

Lattice parameters (Å, degrees): 6.771 6.771 6.771 90.00 90.00 90.00
Space group F-43m (No. 216)
Symmetry-distinct sites (fractional):
1 Sr 0.000 0.000 0.000
2 Be 0.000 0.000 0.500
3 Zn 0.250 0.250 0.250

Computed properties:
Fermi-level density of states (states/eV/atom): 0.900
Total moment (Bohr magnetons per cell): 0.0

=====

#three
Compound: SrBeZn
Source: the Alexandria database
Functional: GGA-PBE
Structure: optimized geometry

Lattice parameters (Å, degrees): 5.022 14.384 4.269 90.00 90.00 90.00
Space group Cmcm (No. 63)
Symmetry-distinct sites (fractional):
1 Sr 0.000 0.128 0.250
2 Be 0.000 0.500 0.000
3 Zn 0.000 0.358 0.250

Computed properties:
Fermi-level density of states (states/eV/atom): 0.745
Total moment (Bohr magnetons per cell): 0.0

=====

The structure with the least stability is #one.

=====

#one
Compound: SrBeZn
Source: the Alexandria database
Functional: GGA-PBE
Structure: optimized geometry

Lattice parameters (Å, degrees): 6.692 6.692 6.692 90.00 90.00 90.00
Space group F-43m (No. 216)
Symmetry-distinct sites (fractional):
1 Sr 0.000 0.000 0.000
2 Be 0.250 0.250 0.750
3 Zn 0.000 0.000 0.500

Computed properties:
Fermi-level density of states (states/eV/atom): 1.019
Total moment (Bohr magnetons per cell): 0.0

=====

#two
Compound: SrBeZn
Source: the Alexandria database
Functional: GGA-PBE
Structure: optimized geometry

Lattice parameters (Å, degrees): 4.2432 4.2432 4.4783 90.00 90.00 120.00
Space group P-6m2 (No. 187)
Symmetry-distinct sites (fractional):
1 Sr 0.0000 0.0000 0.0000
2 Be 0.3333 0.6667 0.5000
3 Zn 0.6667 0.3333 0.5000

Computed properties:
Fermi-level density of states (states/eV/atom): 0.515
Total moment (Bohr magnetons per cell): 0.0

=====

#three
Compound: SrBeZn
Source: the Alexandria database
Functional: GGA-PBE
Structure: optimized geometry

Lattice parameters (Å, degrees): 3.384 3.384 11.104 90.00 90.00 90.00
Space group I4mm (No. 107)
Symmetry-distinct sites (fractional):
1 Sr 0.000 0.000 0.000
2 Be 0.000 0.000 0.290
3 Zn 0.000 0.000 0.718

Computed properties:
Fermi-level density of states (states/eV/atom): 0.505
Total moment (Bohr magnetons per cell): 0.0

=====

The structure with the least stability is #one.

=====

#one
Compound: SrBe3Zn
Source: the Alexandria database
Functional: GGA-PBE
Structure: optimized geometry

Lattice parameters (Å, degrees): 5.890 5.890 5.890 90.00 90.00 90.00
Space group Pm-3m (No. 221)
Symmetry-distinct sites (fractional):
1 Sr 0.000 0.000 0.000
2 Be 0.000 0.000 0.500
3 Zn 0.500 0.500 0.500

Computed properties:
Fermi-level density of states (states/eV/atom): 0.999
Total moment (Bohr magnetons per cell): 0.0

=====

#two
Compound: SrBe3Zn
Source: the Alexandria database
Functional: GGA-PBE
Structure: optimized geometry

Lattice parameters (Å, degrees): 4.402 4.402 4.402 90.00 90.00 90.00
Space group Pm-3m (No. 221)
Symmetry-distinct sites (fractional):
1 Sr 0.000 0.000 0.000
2 Be 0.000 0.500 0.500
3 Zn 0.500 0.500 0.500

Computed properties:
Fermi-level density of states (states/eV/atom): 0.542
Total moment (Bohr magnetons per cell): 0.0

=====

The structure with the least stability is #one.

=====

#one
Compound: SrBeZn3
Source: the Alexandria database
Functional: GGA-PBE
Structure: optimized geometry

Lattice parameters (Å, degrees): 4.588 4.588 4.588 90.00 90.00 90.00
Space group Pm-3m (No. 221)
Symmetry-distinct sites (fractional):
1 Sr 0.000 0.000 0.000
2 Be 0.500 0.500 0.500
3 Zn 0.000 0.500 0.500

Computed properties:
Fermi-level density of states (states/eV/atom): 0.506
Total moment (Bohr magnetons per cell): 0.0

=====

#two
Compound: SrBeZn3
Source: the Alexandria database
Functional: GGA-PBE
Structure: optimized geometry

Lattice parameters (Å, degrees): 6.144 6.144 6.144 90.00 90.00 90.00
Space group Pm-3m (No. 221)
Symmetry-distinct sites (fractional):
1 Sr 0.000 0.000 0.000
2 Be 0.500 0.500 0.500
3 Zn 0.000 0.000 0.500

Computed properties:
Fermi-level density of states (states/eV/atom): 0.958
Total moment (Bohr magnetons per cell): 0.0

=====

The structure with the least stability is #two.

=====

#one
Compound: Ta3Be
Source: the Alexandria database
Functional: GGA-PBE
Structure: optimized geometry

Lattice parameters (Å, degrees): 4.269 4.269 3.577 90.00 90.00 90.00
Space group P4/mmm (No. 123)
Symmetry-distinct sites (fractional):
1 Ta 0.000 0.000 0.000
2 Ta 0.000 0.500 0.500
3 Be 0.500 0.500 0.000

Computed properties:
Fermi-level density of states (states/eV/atom): 0.905
Total moment (Bohr magnetons per cell): 0.0

=====

#two
Compound: Ta3Be
Source: the Alexandria database
Functional: GGA-PBE
Structure: optimized geometry

Lattice parameters (Å, degrees): 4.547 5.431 5.304 90.00 90.00 90.00
Space group Pmmn (No. 59, origin choice 2)
Symmetry-distinct sites (fractional):
1 Ta 0.250 0.005 0.152
2 Ta 0.250 0.750 0.613
3 Be 0.250 0.250 0.671

Computed properties:
Fermi-level density of states (states/eV/atom): 0.782
Total moment (Bohr magnetons per cell): 0.0

=====

The structure with the least stability is #two.

=====

#one
Compound: Ta3Be
Source: the Alexandria database
Functional: GGA-PBE
Structure: optimized geometry

Lattice parameters (Å, degrees): 6.149 9.293 4.534 90.00 90.00 90.00
Space group Cmcm (No. 63)
Symmetry-distinct sites (fractional):
1 Ta 0.000 0.134 0.250
2 Ta 0.229 0.392 0.250
3 Be 0.000 0.338 0.750

Computed properties:
Fermi-level density of states (states/eV/atom): 0.637
Total moment (Bohr magnetons per cell): 0.0

=====

#two
Compound: Ta3Be
Source: the Alexandria database
Functional: GGA-PBE
Structure: optimized geometry

Lattice parameters (Å, degrees): 6.407 6.407 6.407 90.00 90.00 90.00
Space group Fm-3m (No. 225)
Symmetry-distinct sites (fractional):
1 Ta 0.000 0.000 0.000
2 Ta 0.250 0.250 0.250
3 Be 0.000 0.000 0.500

Computed properties:
Fermi-level density of states (states/eV/atom): 0.779
Total moment (Bohr magnetons per cell): 0.0

=====

The structure with the least stability is #two.

=====

#one
Compound: Ta3Be
Source: the Alexandria database
Functional: GGA-PBE
Structure: optimized geometry

Lattice parameters (Å, degrees): 2.8726 2.8726 9.4044 90.00 90.00 120.00
Space group P-6m2 (No. 187)
Symmetry-distinct sites (fractional):
1 Ta 0.0000 0.0000 0.0000
2 Ta 0.6667 0.3333 0.2758
3 Be 0.0000 0.0000 0.5000

Computed properties:
Fermi-level density of states (states/eV/atom): 1.237
Total moment (Bohr magnetons per cell): 0.0

=====

#two
Compound: Ta3Be
Source: the Alexandria database
Functional: GGA-PBE
Structure: optimized geometry

Lattice parameters (Å, degrees): 3.287 3.287 5.948 90.00 90.00 90.00
Space group P4/mmm (No. 123)
Symmetry-distinct sites (fractional):
1 Ta 0.000 0.000 0.000
2 Ta 0.500 0.500 0.271
3 Be 0.000 0.000 0.500

Computed properties:
Fermi-level density of states (states/eV/atom): 0.793
Total moment (Bohr magnetons per cell): 0.0

=====

#three
Compound: Ta3Be
Source: the Alexandria database
Functional: GGA-PBE
Structure: optimized geometry

Lattice parameters (Å, degrees): 9.1255 9.1255 2.7614 90.00 90.00 120.00
Space group R-3m (No. 166, hexagonal axes)
Symmetry-distinct sites (fractional):
1 Ta 0.0000 0.5000 0.0000
2 Be 0.0000 0.0000 0.0000

Computed properties:
Fermi-level density of states (states/eV/atom): 0.605
Total moment (Bohr magnetons per cell): 0.0

=====

The structure with the least stability is #one.